# 1
The following is a DFT calculation (PBE) of an optimized crystal structure of HoTm2F11.

Results
- Volume: 16.29 A^3/atom
- DOS at the Fermi energy: 0.7966 states/eV/atom
- Raw formation energy: -3.48 eV per atom

abc: 8.2201 10.0961 10.9955
angles: 90.00 90.00 90.00
Closest atoms and distances in Å follow each position.
Space group Ibam (No. 72)
Inequivalent atoms, fractional coordinates:
Ho  0.0000  0.0000  0.2500  8 F 2.26-2.27
Tm  0.1578  0.3109  0.0000  7 F 2.15-2.31
F  0.0000  0.5000  0.0000  2 F 2.18, 2 Tm 2.31
F  0.1026  0.1714  0.1425  1 Tm 2.15, 1 Ho 2.26
F  0.1102  0.3034  0.5000  1 F 2.18, 2 Tm 2.20-2.23
F  0.2085  0.0765  0.3665  1 Tm 2.16, 1 Ho 2.27

=====

# 2
The following is a DFT calculation (PBE) of an optimized crystal structure of Ho3TmF.

Results
- Volume: 24.91 A^3/atom
- DOS at the Fermi energy: 1.0136 states/eV/atom
- Raw formation energy: -0.91 eV per atom

abc: 4.9942 4.9942 4.9942
angles: 90.00 90.00 90.00
Closest atoms and distances in Å follow each position.
Space group Pm-3m (No. 221)
Inequivalent atoms, fractional coordinates:
Ho  0.0000  0.0000  0.5000  2 F 2.50
Tm  0.5000  0.5000  0.5000  12 Ho 3.53
F  0.0000  0.0000  0.0000  6 Ho 2.50

=====

# 3
The following is a DFT calculation (PBE) of an optimized crystal structure of HoTmF6.

Results
- Volume: 19.07 A^3/atom
- DOS at the Fermi energy: 0.0000 states/eV/atom
- Raw formation energy: -4.16 eV per atom

abc: 5.8663 5.8663 15.3506
angles: 90.00 90.00 120.00
Closest atoms and distances in Å follow each position.
Space group R-3 (No. 148, hexagonal axes)
Inequivalent atoms, fractional coordinates:
Ho  0.0000  0.0000  0.0000  6 F 2.17
Tm  0.0000  0.0000  0.5000  6 F 2.14
F  0.0022  0.4336  0.2494  1 Tm 2.14, 1 Ho 2.17

=====

# 4
The following is a DFT calculation (PBE) of an optimized crystal structure of HoTmF5.

Results
- Volume: 17.04 A^3/atom
- DOS at the Fermi energy: 0.1456 states/eV/atom
- Raw formation energy: -3.85 eV per atom

abc: 9.4402 7.2132 7.6667
angles: 90.00 113.92 90.00
Closest atoms and distances in Å follow each position.
Space group C2/c (No. 15)
Inequivalent atoms, fractional coordinates:
Ho  0.0000  0.0000  0.0000  6 F 2.18-2.39
Tm  0.0000  0.4815  0.2500  7 F 2.14-2.38
F  0.0000  0.1734  0.2500  1 Tm 2.22, 2 Ho 2.29, 2 F 2.39
F  0.9996  0.3300  0.5250  2 Tm 2.20-2.38, 1 Ho 2.39, 1 F 2.39
F  0.2475  0.4856  0.3732  1 Tm 2.14, 1 Ho 2.18

=====

# 5
The following is a DFT calculation (PBE) of an optimized crystal structure of HoU2F11.

Results
- Volume: 17.17 A^3/atom
- DOS at the Fermi energy: 0.4024 states/eV/atom
- Raw formation energy: -3.75 eV per atom

abc: 8.4438 10.4007 10.9495
angles: 90.00 90.00 90.00
Closest atoms and distances in Å follow each position.
Space group Ibam (No. 72)
Inequivalent atoms, fractional coordinates:
Ho  0.0000  0.0000  0.2500  8 F 2.28-2.31
U  0.1513  0.3171  0.0000  7 F 2.17-2.36
F  0.0000  0.5000  0.0000  2 U 2.29, 2 F 2.45
F  0.0912  0.1725  0.1417  1 U 2.22, 1 Ho 2.28
F  0.1263  0.2879  0.5000  2 U 2.17-2.36
F  0.2140  0.0714  0.3618  1 U 2.22, 1 Ho 2.31